(1)
A relaxed LaTe2Se crystal, computed with GGA-PBE.

Geometry as POSCAR:
```
LaTe2Se
1.0
4.341 0.000 -0.001
0.000 4.342 0.000
-2.169 0.000 13.391
Te La Se
4 2 2
Direct
0.920 0.750 0.840
0.580 0.750 0.160
0.080 0.250 0.160
0.420 0.250 0.840
0.180 0.750 0.361
0.820 0.250 0.639
0.295 0.750 0.590
0.705 0.250 0.410
```

Computed properties:
Calculated total energy (eV/f.u.): -19.7
D(E_F) (states/eV/atom): 0.273
SG: Cmcm
Formation energy from raw total energies (eV/atom): -1.256

(2)
A relaxed LaTe2Se crystal, computed with GGA-PBE.

Geometry as POSCAR:
```
LaTe2Se
1.0
4.446 0.000 0.000
0.000 4.437 -0.004
0.000 4.458 6.012
Te La Se
2 1 1
Direct
0.000 0.501 0.496
0.000 0.999 0.004
0.500 0.250 0.250
0.500 0.750 0.750
```

Computed properties:
Calculated total energy (eV/f.u.): -18.2
D(E_F) (states/eV/atom): 0.886
SG: P2/m
Formation energy from raw total energies (eV/atom): -0.864

(3)
A relaxed LaTe2Se crystal, computed with GGA-PBE.

Geometry as POSCAR:
```
LaTe2Se
1.0
4.120 0.000 0.000
0.000 4.120 0.000
0.000 0.000 7.142
Se Te La
1 2 1
Direct
0.500 0.500 0.678
0.500 0.500 0.293
0.000 0.000 0.001
0.000 0.000 0.528
```

Computed properties:
Calculated total energy (eV/f.u.): -18.2
D(E_F) (states/eV/atom): 0.793
SG: P4mm
Formation energy from raw total energies (eV/atom): -0.882

(4)
A relaxed La3TeSe3 crystal, computed with GGA-PBE.

Geometry as POSCAR:
```
La3TeSe3
1.0
-5.931 0.680 7.000
1.672 -4.423 7.892
1.601 3.619 7.051
Te Se La
2 6 6
Direct
0.334 0.334 0.997
0.666 0.666 0.003
0.623 0.203 0.270
0.797 0.096 0.730
0.203 0.904 0.270
0.096 0.377 0.730
0.904 0.623 0.270
0.377 0.797 0.730
0.556 0.926 0.240
0.721 0.444 0.760
0.444 0.074 0.760
0.926 0.279 0.240
0.074 0.721 0.760
0.279 0.556 0.240
```

Computed properties:
Calculated total energy (eV/f.u.): -41.5
D(E_F) (states/eV/atom): 0.479
SG: R-3
Formation energy from raw total energies (eV/atom): -1.873

(5)
A relaxed LaTe2Se crystal, computed with GGA-PBE.

Geometry as POSCAR:
```
LaTe2Se
1.0
2.285 0.000 9.933
-1.142 1.979 9.933
-1.142 -1.979 9.933
Te La Se
2 1 1
Direct
0.104 0.104 0.104
0.896 0.896 0.896
0.000 0.000 0.000
0.500 0.500 0.500
```

Computed properties:
Calculated total energy (eV/f.u.): -14.5
D(E_F) (states/eV/atom): 0.983
SG: R-3m
Formation energy from raw total energies (eV/atom): 0.059

(6)
A relaxed LaThTeSe crystal, computed with GGA-PBE.

Geometry as POSCAR:
```
LaThTeSe
1.0
-2.194 2.452 -2.592
-1.685 -1.253 3.622
4.963 5.199 4.107
Th La Se Te
1 1 1 1
Direct
0.486 0.141 0.641
0.120 0.958 0.093
0.301 0.548 0.864
0.971 0.384 0.371
```

Computed properties:
Calculated total energy (eV/f.u.): -25.0
D(E_F) (states/eV/atom): 1.032
SG: R3m
Formation energy from raw total energies (eV/atom): -1.499

(7)
A relaxed La2ThTe2Se2 crystal, computed with GGA-PBE.

Geometry as POSCAR:
```
La2ThTe2Se2
1.0
5.551 0.000 0.000
0.000 5.551 0.000
-2.776 -2.776 8.099
Te Th La Se
2 1 2 2
Direct
0.189 0.189 0.378
0.811 0.811 0.622
0.000 0.000 0.000
0.614 0.614 0.228
0.386 0.386 0.772
0.000 0.500 0.000
0.500 0.000 0.000
```

Computed properties:
Calculated total energy (eV/f.u.): -39.8
D(E_F) (states/eV/atom): 0.898
SG: I4/mmm
Formation energy from raw total energies (eV/atom): -1.328

(8)
A relaxed LaTl2TeSe4 crystal, computed with GGA-PBE.

Geometry as POSCAR:
```
LaTl2TeSe4
1.0
4.276 0.000 0.000
0.000 8.134 -0.212
0.000 2.816 7.183
Te Tl Se La
1 2 4 1
Direct
0.500 0.500 0.000
0.500 0.000 0.500
0.000 0.000 0.000
0.000 0.701 0.780
0.000 0.299 0.220
0.500 0.739 0.286
0.500 0.261 0.714
0.000 0.500 0.500
```

Computed properties:
Calculated total energy (eV/f.u.): -32.7
D(E_F) (states/eV/atom): 0.360
SG: P2/m
Formation energy from raw total energies (eV/atom): -0.740

(9)
A relaxed La4TlTe2Se crystal, computed with GGA-PBE.

Geometry as POSCAR:
```
La4TlTe2Se
1.0
4.503 0.000 0.000
0.000 7.930 -0.199
0.000 2.751 7.353
La Te Se Tl
4 2 1 1
Direct
0.000 0.257 0.253
0.500 0.265 0.740
0.500 0.735 0.260
0.000 0.743 0.747
0.000 0.000 0.000
0.500 0.000 0.500
0.000 0.500 0.500
0.500 0.500 0.000
```

Computed properties:
Calculated total energy (eV/f.u.): -42.9
D(E_F) (states/eV/atom): 0.506
SG: P2/m
Formation energy from raw total energies (eV/atom): -1.378

(10)
A relaxed LaTlTeSe crystal, computed with GGA-PBE.

Geometry as POSCAR:
```
LaTlTeSe
1.0
4.525 -0.001 -0.001
-2.262 3.919 0.000
-2.262 -1.306 8.108
Se La Te Tl
1 1 1 1
Direct
0.105 0.951 0.071
0.317 0.556 0.888
0.488 0.142 0.646
0.968 0.382 0.365
```

Computed properties:
Calculated total energy (eV/f.u.): -19.0
D(E_F) (states/eV/atom): 0.000
SG: R3m
Formation energy from raw total energies (eV/atom): -1.282

(11)
A relaxed LaTmTeSe crystal, computed with GGA-PBE.

Geometry as POSCAR:
```
LaTmTeSe
1.0
4.145 -0.001 0.000
-2.073 3.591 0.000
-2.071 -1.196 7.592
Se Tm Te La
1 1 1 1
Direct
0.292 0.544 0.852
0.489 0.143 0.647
0.980 0.388 0.383
0.116 0.956 0.087
```

Computed properties:
Calculated total energy (eV/f.u.): -22.4
D(E_F) (states/eV/atom): 0.261
SG: R3m
Formation energy from raw total energies (eV/atom): -1.600

(12)
A relaxed LaTmTe2Se crystal, computed with GGA-PBE.

Geometry as POSCAR:
```
LaTmTe2Se
1.0
4.420 0.000 0.000
0.000 4.420 0.000
0.000 0.000 15.653
Se Te La Tm
2 4 2 2
Direct
0.500 0.500 0.500
0.000 0.000 0.500
0.000 0.500 0.101
0.000 0.500 0.714
0.500 0.000 0.286
0.500 0.000 0.899
0.500 0.000 0.631
0.000 0.500 0.369
0.000 0.500 0.905
0.500 0.000 0.095
```

Computed properties:
Calculated total energy (eV/f.u.): -26.5
D(E_F) (states/eV/atom): 0.438
SG: P4/nmm
Formation energy from raw total energies (eV/atom): -1.459